[1]
Here is CsNa2Hg2Sb2 after structural relaxation from Alexandria. Energies are from PBE-GGA.

Energy relative to the elements, uncorrected   -0.327 eV per atom
Density of states at the Fermi level   0.380 states/eV/atom

Lattice parameters (Å, degrees): 10.8114 10.8114 10.8114 27.78 27.78 27.78
Sites, in units of the cell vectors:
Cs 0.0000 0.0000 0.0000
Na 0.1378 0.1378 0.1378
Na 0.8622 0.8622 0.8622
Hg 0.4273 0.4273 0.4273
Hg 0.5727 0.5727 0.5727
Sb 0.2426 0.2426 0.2426
Sb 0.7574 0.7574 0.7574


[2]
Here is CsNaHg2Sb after structural relaxation from Alexandria. Energies are from PBE-GGA.

Energy relative to the elements, uncorrected   -0.158 eV per atom
Density of states at the Fermi level   0.294 states/eV/atom
Excess energy over the best structure of this formula in the dataset   0.70 eV per formula unit

Lattice parameters (Å, degrees): 5.9392 5.9392 5.8376 90.00 90.00 90.00
Sites, in units of the cell vectors:
Cs 0.0000 0.0000 0.0000
Na 0.5000 0.5000 0.0000
Hg 0.0000 0.5000 0.5000
Hg 0.5000 0.0000 0.5000
Sb 0.5000 0.5000 0.5000


[3]
Here is CsNa2HgSb after structural relaxation from Alexandria. Energies are from PBE-GGA.

Energy relative to the elements, uncorrected   -0.227 eV per atom
Density of states at the Fermi level   0.134 states/eV/atom
Excess energy over the best structure of this formula in the dataset   0.00 eV per formula unit

Lattice parameters (Å, degrees): 5.9696 5.9696 7.5456 90.00 90.00 90.00
Sites, in units of the cell vectors:
Cs 0.0000 0.0000 0.0000
Na 0.0000 0.5000 0.5000
Na 0.5000 0.0000 0.5000
Hg 0.5000 0.5000 0.0000
Sb 0.0000 0.0000 0.5000


[4]
Here is CsNaHg2Sb after structural relaxation from Alexandria. Energies are from PBE-GGA.

Energy relative to the elements, uncorrected   -0.298 eV per atom
Density of states at the Fermi level   0.337 states/eV/atom
Excess energy over the best structure of this formula in the dataset   0.00 eV per formula unit

Lattice parameters (Å, degrees): 7.4177 7.4177 7.4177 140.22 137.34 59.74
Sites, in units of the cell vectors:
Cs 0.0000 0.0000 0.0000
Na 0.2392 0.7392 0.5000
Hg 0.3895 0.3895 0.0000
Hg 0.7518 0.2518 0.5000
Sb 0.6244 0.6244 0.0000


[5]
Here is CsNa2HgSb after structural relaxation from Alexandria. Energies are from PBE-GGA.

Energy relative to the elements, uncorrected   -0.193 eV per atom
Density of states at the Fermi level   0.489 states/eV/atom
Excess energy over the best structure of this formula in the dataset   0.17 eV per formula unit

Lattice parameters (Å, degrees): 6.0088 6.0088 6.0066 90.00 90.00 90.00
Sites, in units of the cell vectors:
Cs 0.0000 0.0000 0.0000
Na 0.0000 0.5000 0.5000
Na 0.5000 0.0000 0.5000
Hg 0.5000 0.5000 0.0000
Sb 0.5000 0.5000 0.5000


[6]
Here is Cs2NaHgSb2 after structural relaxation from Alexandria. Energies are from PBE-GGA.

Energy relative to the elements, uncorrected   -0.346 eV per atom
Density of states at the Fermi level   0.846 states/eV/atom

Lattice parameters (Å, degrees): 10.1224 10.1224 10.1224 136.52 63.33 136.31
Sites, in units of the cell vectors:
Cs 0.1671 0.2434 0.4105
Cs 0.3329 0.7434 0.0763
Cs 0.6671 0.2566 0.9237
Cs 0.8329 0.7566 0.5895
Na 0.2500 0.2500 0.0000
Na 0.7500 0.7500 0.0000
Hg 0.2500 0.7500 0.5000
Hg 0.7500 0.2500 0.5000
Sb 0.0917 0.7214 0.8131
Sb 0.4083 0.2214 0.6297
Sb 0.5917 0.7786 0.3703
Sb 0.9083 0.2786 0.1869


[7]
Here is CsNaHgSe after structural relaxation from Alexandria. Energies are from PBE-GGA.

Energy relative to the elements, uncorrected   -0.784 eV per atom
Density of states at the Fermi level   0.730 states/eV/atom
Excess energy over the best structure of this formula in the dataset   0.00 eV per formula unit

Lattice parameters (Å, degrees): 4.8388 4.8388 12.9671 90.00 90.00 90.00
Sites, in units of the cell vectors:
Cs 0.2500 0.2500 0.2365
Cs 0.7500 0.7500 0.7635
Na 0.2500 0.7500 0.0000
Na 0.7500 0.2500 0.0000
Hg 0.2500 0.7500 0.5000
Hg 0.7500 0.2500 0.5000
Se 0.2500 0.2500 0.8696
Se 0.7500 0.7500 0.1304


[8]
Here is CsNaHgSe after structural relaxation from Alexandria. Energies are from PBE-GGA.

Energy relative to the elements, uncorrected   -0.633 eV per atom
Density of states at the Fermi level   0.000 states/eV/atom
Excess energy over the best structure of this formula in the dataset   0.61 eV per formula unit

Lattice parameters (Å, degrees): 5.7885 5.7885 5.7885 60.00 60.00 60.00
Sites, in units of the cell vectors:
Cs 0.0000 0.0000 0.0000
Na 0.5000 0.5000 0.5000
Hg 0.7500 0.7500 0.7500
Se 0.2500 0.2500 0.2500


[9]
Here is CsNaHgSe2 after structural relaxation from Alexandria. Energies are from PBE-GGA.

Energy relative to the elements, uncorrected   -0.845 eV per atom
Density of states at the Fermi level   0.000 states/eV/atom

Lattice parameters (Å, degrees): 8.4513 8.4513 6.5712 90.00 90.00 131.43
Sites, in units of the cell vectors:
Cs 0.2500 0.7500 0.7687
Cs 0.7500 0.2500 0.2313
Na 0.2500 0.2500 0.5000
Na 0.7500 0.7500 0.5000
Hg 0.0000 0.0000 0.0000
Hg 0.5000 0.5000 0.0000
Se 0.1166 0.8834 0.2608
Se 0.3834 0.6166 0.2608
Se 0.6166 0.3834 0.7392
Se 0.8834 0.1166 0.7392


[10]
Here is CsNaSiHg2 after structural relaxation from Alexandria. Energies are from PBE-GGA.

Energy relative to the elements, uncorrected   0.027 eV per atom
Density of states at the Fermi level   0.861 states/eV/atom

Lattice parameters (Å, degrees): 5.5177 5.5177 5.6522 90.00 90.00 90.00
Sites, in units of the cell vectors:
Cs 0.0000 0.0000 0.0000
Na 0.5000 0.5000 0.0000
Si 0.5000 0.5000 0.5000
Hg 0.0000 0.5000 0.5000
Hg 0.5000 0.0000 0.5000


[11]
Here is CsNa2SiHg after structural relaxation from Alexandria. Energies are from PBE-GGA.

Energy relative to the elements, uncorrected   0.047 eV per atom
Density of states at the Fermi level   0.527 states/eV/atom

Lattice parameters (Å, degrees): 5.8194 5.8194 5.3041 90.00 90.00 90.00
Sites, in units of the cell vectors:
Cs 0.0000 0.0000 0.0000
Na 0.0000 0.5000 0.5000
Na 0.5000 0.0000 0.5000
Si 0.5000 0.5000 0.5000
Hg 0.5000 0.5000 0.0000


[12]
Here is CsNaSnHg after structural relaxation from Alexandria. Energies are from PBE-GGA.

Formation enthalpy at 0 K   -5 kJ/mol of atoms
Density of states at the Fermi level   0.333 states/eV/atom

Lattice parameters (Å, degrees): 5.7612 5.7612 5.7612 60.00 60.00 60.00
Sites, in units of the cell vectors:
Cs 0.0000 0.0000 0.0000
Na 0.2500 0.2500 0.2500
Sn 0.5000 0.5000 0.5000
Hg 0.7500 0.7500 0.7500


[13]
Here is Cs2Na4Sn2Hg after structural relaxation from Alexandria. Energies are from PBE-GGA.

Formation enthalpy at 0 K   -12 kJ/mol of atoms
Density of states at the Fermi level   0.088 states/eV/atom

Lattice parameters (Å, degrees): 8.2339 8.2339 5.7996 97.03 97.03 62.43
Sites, in units of the cell vectors:
Cs 0.1082 0.1082 0.2496
Cs 0.8918 0.8918 0.7504
Na 0.1457 0.5332 0.2598
Na 0.4668 0.8543 0.7402
Na 0.5332 0.1457 0.2598
Na 0.8543 0.4668 0.7402
Sn 0.3126 0.3126 0.7493
Sn 0.6874 0.6874 0.2507
Hg 0.5000 0.5000 0.0000


[14]
Here is CsNa2SnHg after structural relaxation from Alexandria. Energies are from PBE-GGA.

Formation enthalpy at 0 K   -12 kJ/mol of atoms
Density of states at the Fermi level   0.563 states/eV/atom
Excess energy over the best structure of this formula in the dataset   0.00 eV per formula unit

Lattice parameters (Å, degrees): 6.0037 6.0037 6.0466 90.00 90.00 90.00
Sites, in units of the cell vectors:
Cs 0.0000 0.0000 0.0000
Na 0.0000 0.5000 0.5000
Na 0.5000 0.0000 0.5000
Sn 0.5000 0.5000 0.5000
Hg 0.5000 0.5000 0.0000


[15]
Here is CsNa2SnHg after structural relaxation from Alexandria. Energies are from PBE-GGA.

Formation enthalpy at 0 K   -5 kJ/mol of atoms
Density of states at the Fermi level   0.564 states/eV/atom
Excess energy over the best structure of this formula in the dataset   0.35 eV per formula unit

Lattice parameters (Å, degrees): 6.0281 6.0281 5.5586 90.00 90.00 90.00
Sites, in units of the cell vectors:
Cs 0.0000 0.0000 0.0000
Na 0.0000 0.5000 0.5000
Na 0.5000 0.0000 0.5000
Sn 0.5000 0.5000 0.0000
Hg 0.5000 0.5000 0.5000


[16]
Here is CsNaHgTe2 after structural relaxation from Alexandria. Energies are from PBE-GGA.

Energy relative to the elements, uncorrected   -0.727 eV per atom
Density of states at the Fermi level   0.000 states/eV/atom

Lattice parameters (Å, degrees): 8.9082 8.9082 7.0402 90.00 90.00 132.04
Sites, in units of the cell vectors:
Cs 0.2500 0.7500 0.7739
Cs 0.7500 0.2500 0.2261
Na 0.2500 0.2500 0.5000
Na 0.7500 0.7500 0.5000
Hg 0.0000 0.0000 0.0000
Hg 0.5000 0.5000 0.0000
Te 0.1202 0.8798 0.2575
Te 0.3798 0.6202 0.2575
Te 0.6202 0.3798 0.7425
Te 0.8798 0.1202 0.7425


[17]
Here is Cs2NaHgTe2 after structural relaxation from Alexandria. Energies are from PBE-GGA.

Energy relative to the elements, uncorrected   -0.764 eV per atom
Density of states at the Fermi level   0.481 states/eV/atom

Lattice parameters (Å, degrees): 10.0961 10.0961 10.0961 135.71 64.95 135.05
Sites, in units of the cell vectors:
Cs 0.1640 0.2305 0.3946
Cs 0.3360 0.7305 0.0665
Cs 0.6640 0.2695 0.9335
Cs 0.8360 0.7695 0.6054
Na 0.2500 0.7500 0.5000
Na 0.7500 0.2500 0.5000
Hg 0.2500 0.2500 0.0000
Hg 0.7500 0.7500 0.0000
Te 0.1031 0.7367 0.8398
Te 0.3969 0.2367 0.6336
Te 0.6031 0.7633 0.3664
Te 0.8969 0.2633 0.1602


[18]
Here is CsNaHg2Te after structural relaxation from Alexandria. Energies are from PBE-GGA.

Energy relative to the elements, uncorrected   -0.450 eV per atom
Density of states at the Fermi level   0.095 states/eV/atom

Lattice parameters (Å, degrees): 5.9704 5.9704 5.8868 90.00 90.00 90.00
Sites, in units of the cell vectors:
Cs 0.0000 0.0000 0.0000
Na 0.5000 0.5000 0.5000
Hg 0.0000 0.5000 0.5000
Hg 0.5000 0.0000 0.5000
Te 0.5000 0.5000 0.0000


[19]
Here is Cs2NaHgTe after structural relaxation from Alexandria. Energies are from PBE-GGA.

Energy relative to the elements, uncorrected   -0.521 eV per atom
Density of states at the Fermi level   0.716 states/eV/atom

Lattice parameters (Å, degrees): 7.4772 7.4772 5.8604 90.00 90.00 90.00
Sites, in units of the cell vectors:
Cs 0.0000 0.5000 0.0000
Cs 0.5000 0.0000 0.0000
Na 0.0000 0.0000 0.5000
Hg 0.5000 0.5000 0.5000
Te 0.0000 0.0000 0.0000


[20]
Here is Cs2NaTlHg after structural relaxation from Alexandria. Energies are from PBE-GGA.

Formation enthalpy at 0 K   4 kJ/mol of atoms
Density of states at the Fermi level   0.690 states/eV/atom
Excess energy over the best structure of this formula in the dataset   0.12 eV per formula unit

Lattice parameters (Å, degrees): 7.3625 7.3625 6.0720 90.00 90.00 90.00
Sites, in units of the cell vectors:
Cs 0.0000 0.5000 0.0000
Cs 0.5000 0.0000 0.0000
Na 0.0000 0.0000 0.5000
Tl 0.0000 0.0000 0.0000
Hg 0.5000 0.5000 0.5000


[21]
Here is Cs2Na6TlHg after structural relaxation from Alexandria. Energies are from PBE-GGA.

Formation enthalpy at 0 K   -4 kJ/mol of atoms
Density of states at the Fermi level   0.583 states/eV/atom

Lattice parameters (Å, degrees): 8.7384 8.7384 8.7384 60.00 60.00 60.00
Sites, in units of the cell vectors:
Cs 0.2500 0.2500 0.2500
Cs 0.7500 0.7500 0.7500
Na 0.2472 0.2472 0.7528
Na 0.2472 0.7528 0.2472
Na 0.2472 0.7528 0.7528
Na 0.7528 0.2472 0.2472
Na 0.7528 0.2472 0.7528
Na 0.7528 0.7528 0.2472
Tl 0.5000 0.5000 0.5000
Hg 0.0000 0.0000 0.0000


[22]
Here is CsNa2TlHg after structural relaxation from Alexandria. Energies are from PBE-GGA.

Formation enthalpy at 0 K   -7 kJ/mol of atoms
Density of states at the Fermi level   0.353 states/eV/atom
Excess energy over the best structure of this formula in the dataset   0.01 eV per formula unit

Lattice parameters (Å, degrees): 6.0715 6.0715 5.8153 90.00 90.00 90.00
Sites, in units of the cell vectors:
Cs 0.0000 0.0000 0.0000
Na 0.0000 0.5000 0.5000
Na 0.5000 0.0000 0.5000
Tl 0.5000 0.5000 0.0000
Hg 0.5000 0.5000 0.5000


[23]
Here is CsNa2TlHg after structural relaxation from Alexandria. Energies are from PBE-GGA.

Formation enthalpy at 0 K   -7 kJ/mol of atoms
Density of states at the Fermi level   0.417 states/eV/atom
Excess energy over the best structure of this formula in the dataset   0.00 eV per formula unit

Lattice parameters (Å, degrees): 6.1283 6.1283 5.9257 90.00 90.00 90.00
Sites, in units of the cell vectors:
Cs 0.0000 0.0000 0.0000
Na 0.0000 0.5000 0.5000
Na 0.5000 0.0000 0.5000
Tl 0.5000 0.5000 0.5000
Hg 0.5000 0.5000 0.0000


[24]
Here is Cs2Na5TlHg2 after structural relaxation from Alexandria. Energies are from PBE-GGA.

Formation enthalpy at 0 K   -10 kJ/mol of atoms
Density of states at the Fermi level   0.480 states/eV/atom

Lattice parameters (Å, degrees): 12.8916 12.8916 4.7249 90.00 90.00 90.00
Sites, in units of the cell vectors:
Cs 0.1763 0.3237 0.0000
Cs 0.3237 0.8237 0.0000
Cs 0.6763 0.1763 0.0000
Cs 0.8237 0.6763 0.0000
Na 0.0000 0.5000 0.5000
Na 0.0608 0.8039 0.5000
Na 0.1961 0.0608 0.5000
Na 0.3039 0.5608 0.5000
Na 0.4392 0.3039 0.5000
Na 0.5000 0.0000 0.5000
Na 0.5608 0.6961 0.5000
Na 0.6961 0.4392 0.5000
Na 0.8039 0.9392 0.5000
Na 0.9392 0.1961 0.5000
Tl 0.0000 0.0000 0.0000
Tl 0.5000 0.5000 0.0000
Hg 0.1196 0.6196 0.0000
Hg 0.3804 0.1196 0.0000
Hg 0.6196 0.8804 0.0000
Hg 0.8804 0.3804 0.0000


[25]
Here is Cs2NaTlHg after structural relaxation from Alexandria. Energies are from PBE-GGA.

Formation enthalpy at 0 K   5 kJ/mol of atoms
Density of states at the Fermi level   0.638 states/eV/atom
Excess energy over the best structure of this formula in the dataset   0.17 eV per formula unit

Lattice parameters (Å, degrees): 7.1320 7.1320 5.8989 90.00 90.00 90.00
Sites, in units of the cell vectors:
Cs 0.0000 0.5000 0.0000
Cs 0.5000 0.0000 0.0000
Na 0.0000 0.0000 0.5000
Tl 0.5000 0.5000 0.5000
Hg 0.0000 0.0000 0.0000


[26]
Here is Cs2NaTlHg after structural relaxation from Alexandria. Energies are from PBE-GGA.

Formation enthalpy at 0 K   2 kJ/mol of atoms
Density of states at the Fermi level   0.821 states/eV/atom
Excess energy over the best structure of this formula in the dataset   0.00 eV per formula unit

Lattice parameters (Å, degrees): 7.4218 7.4218 5.7719 90.00 90.00 90.00
Sites, in units of the cell vectors:
Cs 0.0000 0.5000 0.0000
Cs 0.5000 0.0000 0.0000
Na 0.0000 0.0000 0.5000
Tl 0.5000 0.5000 0.5000
Hg 0.5000 0.5000 0.0000


| no. | energy (eV for the cell shown) |
| --- | --- |
| 1 | -14.63 |
| 2 | -7.69 |
| 3 | -9.05 |
| 4 | -8.39 |
| 5 | -8.88 |
| 6 | -27.29 |
| 7 | -18.19 |
| 8 | -8.49 |
| 9 | -27.34 |
| 10 | -8.06 |
| 11 | -8.98 |
| 12 | -6.70 |
| 13 | -16.45 |
| 14 | -8.40 |
| 15 | -8.05 |
| 16 | -24.79 |
| 17 | -28.39 |
| 18 | -8.17 |
| 19 | -9.08 |
| 20 | -5.47 |
| 21 | -12.68 |
| 22 | -6.51 |
| 23 | -6.53 |
| 24 | -24.60 |
| 25 | -5.43 |
| 26 | -5.59 |